Entry 1:
Entry from Alexandria: an optimized crystal structure of Cs2TaTe3 (PBE).

**V**: 1178 Å³/cell
**Total DFT energy (no corrections)**: -4.478 eV/atom
**Size of the total moment**: 0.33 μB per formula unit

Geometry as POSCAR:
```
Cs2TaTe3
1.0
4.0663 -7.8090 0.0000
4.0663 7.8090 0.0000
-0.2111 0.0000 18.5434
Cs Ta Te
8 4 12
Direct
0.0525 0.4179 0.3465 Cs
0.1491 0.3534 0.9269 Cs
0.3534 0.1491 0.4269 Cs
0.4179 0.0525 0.8465 Cs
0.5821 0.9475 0.1535 Cs
0.6466 0.8509 0.5731 Cs
0.8509 0.6466 0.0731 Cs
0.9475 0.5821 0.6535 Cs
0.2489 0.2578 0.6653 Ta
0.2578 0.2489 0.1653 Ta
0.7422 0.7511 0.8347 Ta
0.7511 0.7422 0.3347 Ta
0.0359 0.9641 0.2500 Te
0.1119 0.4280 0.1334 Te
0.1408 0.3421 0.5486 Te
0.3421 0.1408 0.0486 Te
0.4280 0.1119 0.6334 Te
0.4416 0.5584 0.7500 Te
0.5584 0.4416 0.2500 Te
0.5720 0.8881 0.3666 Te
0.6579 0.8592 0.9514 Te
0.8592 0.6579 0.4514 Te
0.8881 0.5720 0.8666 Te
0.9641 0.0359 0.7500 Te
```

---

Entry 2:
Entry from Alexandria: an optimized crystal structure of CsTaTe3 (PBE).

**V**: 736 Å³/cell
**Excess energy over the best structure of this formula in the dataset**: 0.109 eV per atom
**Total DFT energy (no corrections)**: -4.921 eV/atom
**Size of the total moment**: 0.00 μB per formula unit

Geometry as POSCAR:
```
CsTaTe3
1.0
10.4525 0.0000 0.0000
0.0000 7.1203 0.0000
-2.0123 0.0000 9.8927
Cs Ta Te
4 4 12
Direct
0.1006 0.1037 0.2009 Cs
0.1006 0.3963 0.7009 Cs
0.8994 0.6037 0.2991 Cs
0.8994 0.8963 0.7991 Cs
0.4078 0.7314 0.5648 Ta
0.4078 0.7686 0.0648 Ta
0.5922 0.2314 0.9352 Ta
0.5922 0.2686 0.4352 Ta
0.1816 0.6141 0.0806 Te
0.1816 0.8859 0.5806 Te
0.3275 0.0836 0.9319 Te
0.3275 0.4164 0.4319 Te
0.4518 0.5776 0.8298 Te
0.4518 0.9224 0.3298 Te
0.5482 0.0776 0.6702 Te
0.5482 0.4224 0.1702 Te
0.6725 0.5836 0.5681 Te
0.6725 0.9164 0.0681 Te
0.8184 0.1141 0.4194 Te
0.8184 0.3859 0.9194 Te
```

---

Energy relative to the elements, uncorrected / eV/atom: -0.647, -0.495